LiHfTe4Au3 PBE relaxed; magnetization = 0.02 μB per cell; SG = P2_1/m; total DFT energy (no corrections) = -4.20 eV/atom; relative energy among the computed polymorphs = 0.084 eV per atom
1.0
6.581 0.000 0.000
0.000 8.978 0.000
-0.210 0.000 8.945
Li Hf Te Au
2 2 8 6
direct
0.098 0.250 0.012
0.902 0.750 0.988
0.267 0.750 0.272
0.733 0.250 0.728
0.020 0.503 0.218
0.020 0.997 0.218
0.476 0.750 0.019
0.495 0.250 0.452
0.505 0.750 0.548
0.524 0.250 0.981
0.980 0.003 0.782
0.980 0.497 0.782
0.198 0.547 0.528
0.198 0.953 0.528
0.279 0.250 0.723
0.721 0.750 0.277
0.802 0.047 0.472
0.802 0.453 0.472